# 1
{"formula": "Ho4Tm2Sc5", "functional": "GGA-PBE", "state": "optimized geometry", "lattice_angstrom": [[8.6592, -2.4089, 0.0000], [8.6592, 2.4089, 0.0000], [-1.9183, 0.0000, 7.3134]], "species": ["Ho", "Ho", "Ho", "Ho", "Tm", "Tm", "Sc", "Sc", "Sc", "Sc", "Sc"], "fractional_positions": [[0.0456, 0.0456, 0.2348], [0.3178, 0.3178, 0.5863], [0.6822, 0.6822, 0.4137], [0.9544, 0.9544, 0.7652], [0.4071, 0.4071, 0.0510], [0.5929, 0.5929, 0.9490], [0.1389, 0.1389, 0.6880], [0.2272, 0.2272, 0.1303], [0.5000, 0.5000, 0.5000], [0.7728, 0.7728, 0.8697], [0.8611, 0.8611, 0.3120]], "spacegroup": "C2/m (12)", "dos_ef_per_ev_cell": 17.47, "magnetic_moment_mub_per_fu": 0.00, "delta_e_f_ev_per_fu": 0.561, "total_energy_ev_per_atom": -5.305}

=====

# 2
{"formula": "BaU2CuN5", "functional": "GGA-PBE", "state": "optimized geometry", "lattice_angstrom": [[-3.2715, 3.2715, 5.7910], [3.2715, -3.2715, 5.7910], [3.2715, 3.2715, -5.7910]], "species": ["Ba", "Ba", "U", "U", "U", "U", "Cu", "Cu", "N", "N", "N", "N", "N", "N", "N", "N", "N", "N"], "fractional_positions": [[0.2500, 0.2500, 0.0000], [0.7500, 0.7500, 0.0000], [0.1772, 0.6772, 0.8544], [0.3228, 0.1772, 0.5000], [0.6772, 0.8228, 0.5000], [0.8228, 0.3228, 0.1456], [0.2500, 0.7500, 0.5000], [0.7500, 0.2500, 0.5000], [0.0000, 0.0000, 0.0000], [0.0302, 0.2360, 0.5000], [0.2360, 0.7360, 0.2058], [0.2640, 0.4698, 0.5000], [0.4698, 0.9698, 0.2058], [0.5000, 0.5000, 0.0000], [0.5302, 0.0302, 0.7942], [0.7360, 0.5302, 0.5000], [0.7640, 0.2640, 0.7942], [0.9698, 0.7640, 0.5000]], "spacegroup": "I4/mcm (140)", "dos_ef_per_ev_cell": 4.29, "magnetic_moment_mub_per_fu": 0.00, "total_energy_ev_per_atom": -8.660}

=====

# 3
{"formula": "ZrCuBi2", "functional": "GGA-PBE", "state": "optimized geometry", "lattice_angstrom": [[7.7794, 0.0000, 0.0000], [0.0000, 7.7794, 0.0000], [0.0000, 0.0000, 6.4878]], "species": ["Zr", "Zr", "Zr", "Zr", "Cu", "Cu", "Cu", "Cu", "Bi", "Bi", "Bi", "Bi", "Bi", "Bi", "Bi", "Bi"], "fractional_positions": [[0.0000, 0.0000, 0.0000], [0.0000, 0.5000, 0.2500], [0.5000, 0.0000, 0.7500], [0.5000, 0.5000, 0.5000], [0.0000, 0.0000, 0.5000], [0.0000, 0.5000, 0.7500], [0.5000, 0.0000, 0.2500], [0.5000, 0.5000, 0.0000], [0.2099, 0.2500, 0.6250], [0.2500, 0.7099, 0.8750], [0.2500, 0.7901, 0.3750], [0.2901, 0.2500, 0.1250], [0.7099, 0.7500, 0.1250], [0.7500, 0.2099, 0.3750], [0.7500, 0.2901, 0.8750], [0.7901, 0.7500, 0.6250]], "spacegroup": "I-42d (122)", "dos_ef_per_ev_cell": 14.96, "magnetic_moment_mub_per_fu": 0.00, "delta_e_f_ev_per_fu": 0.745, "total_energy_ev_per_atom": -4.915}

=====

# 4
{"formula": "FeTePdRh2", "functional": "GGA-PBE", "state": "optimized geometry", "lattice_angstrom": [[4.8046, 0.0000, 0.0000], [0.0000, 4.8046, 0.0000], [0.0000, 0.0000, 4.8865]], "species": ["Fe", "Te", "Pd", "Rh", "Rh"], "fractional_positions": [[0.0000, 0.0000, 0.0000], [0.5000, 0.5000, 0.0000], [0.5000, 0.5000, 0.5000], [0.0000, 0.5000, 0.5000], [0.5000, 0.0000, 0.5000]], "spacegroup": "P4/mmm (123)", "dos_ef_per_ev_cell": 12.84, "magnetic_moment_mub_per_fu": 2.35, "total_energy_ev_per_atom": -4.557}

=====

# 5
{"formula": "In2AgCl", "functional": "GGA-PBE", "state": "optimized geometry", "lattice_angstrom": [[7.3891, 0.0000, 0.0000], [0.0000, 7.3891, 0.0000], [0.0000, 0.0000, 7.3891]], "species": ["In", "In", "In", "In", "In", "In", "In", "In", "Ag", "Ag", "Ag", "Ag", "Cl", "Cl", "Cl", "Cl"], "fractional_positions": [[0.2500, 0.2500, 0.2500], [0.2500, 0.2500, 0.7500], [0.2500, 0.7500, 0.2500], [0.2500, 0.7500, 0.7500], [0.7500, 0.2500, 0.2500], [0.7500, 0.2500, 0.7500], [0.7500, 0.7500, 0.2500], [0.7500, 0.7500, 0.7500], [0.0000, 0.0000, 0.0000], [0.0000, 0.5000, 0.5000], [0.5000, 0.0000, 0.5000], [0.5000, 0.5000, 0.0000], [0.0000, 0.0000, 0.5000], [0.0000, 0.5000, 0.0000], [0.5000, 0.0000, 0.0000], [0.5000, 0.5000, 0.5000]], "spacegroup": "Fm-3m (225)", "dos_ef_per_ev_cell": 3.75, "magnetic_moment_mub_per_fu": 0.00, "total_energy_ev_per_atom": -2.707}

=====

# 6
{"formula": "La3YSc", "functional": "GGA-PBE", "state": "optimized geometry", "lattice_angstrom": [[5.7618, 0.0000, 0.0000], [0.0000, 5.7618, 0.0000], [0.0000, 0.0000, 5.7618]], "species": ["La", "La", "La", "Y", "Sc"], "fractional_positions": [[0.0000, 0.0000, 0.5000], [0.0000, 0.5000, 0.0000], [0.5000, 0.0000, 0.0000], [0.5000, 0.5000, 0.5000], [0.0000, 0.0000, 0.0000]], "spacegroup": "Pm-3m (221)", "dos_ef_per_ev_cell": 9.20, "magnetic_moment_mub_per_fu": 0.12, "delta_e_f_ev_per_fu": 2.753, "total_energy_ev_per_atom": -4.965}

=====

# 7
{"formula": "MgPdO3", "functional": "GGA-PBE", "state": "optimized geometry", "lattice_angstrom": [[3.8905, 0.0000, 0.0000], [0.0000, 3.8905, 0.0000], [0.0000, 0.0000, 3.8905]], "species": ["Mg", "Pd", "O", "O", "O"], "fractional_positions": [[0.0000, 0.0000, 0.0000], [0.5000, 0.5000, 0.5000], [0.0000, 0.5000, 0.5000], [0.5000, 0.0000, 0.5000], [0.5000, 0.5000, 0.0000]], "spacegroup": "Pm-3m (221)", "dos_ef_per_ev_cell": 3.40, "magnetic_moment_mub_per_fu": 0.41, "total_energy_ev_per_atom": -4.870}

=====

# 8
{"formula": "Pm6Mg5In", "functional": "GGA-PBE", "state": "optimized geometry", "lattice_angstrom": [[2.7281, -8.1978, 0.0000], [2.7281, 8.1978, 0.0000], [0.0000, 0.0000, 7.7168]], "species": ["Pm", "Pm", "Pm", "Pm", "Pm", "Pm", "Mg", "Mg", "Mg", "Mg", "Mg", "In"], "fractional_positions": [[0.0000, 0.0000, 0.2489], [0.0000, 0.0000, 0.7511], [0.3337, 0.6663, 0.2502], [0.3337, 0.6663, 0.7498], [0.6663, 0.3337, 0.2502], [0.6663, 0.3337, 0.7498], [0.1669, 0.8331, 0.5000], [0.1690, 0.8310, 0.0000], [0.5000, 0.5000, 0.5000], [0.8310, 0.1690, 0.0000], [0.8331, 0.1669, 0.5000], [0.5000, 0.5000, 0.0000]], "spacegroup": "Cmmm (65)", "dos_ef_per_ev_cell": 14.00, "magnetic_moment_mub_per_fu": 0.00, "delta_e_f_ev_per_fu": -2.160, "total_energy_ev_per_atom": -3.448}

=====

# 9
{"formula": "SmGd2Ti", "functional": "GGA-PBE", "state": "optimized geometry", "lattice_angstrom": [[3.4126, 0.0000, 0.0000], [0.0000, 3.4126, 0.0000], [0.0000, 0.0000, 9.7241]], "species": ["Sm", "Gd", "Gd", "Ti"], "fractional_positions": [[0.0000, 0.0000, 0.0000], [0.5000, 0.5000, 0.2834], [0.5000, 0.5000, 0.7166], [0.0000, 0.0000, 0.5000]], "spacegroup": "P4/mmm (123)", "dos_ef_per_ev_cell": 6.22, "magnetic_moment_mub_per_fu": 14.31, "delta_e_f_ev_per_fu": 0.685, "total_energy_ev_per_atom": -10.023}

=====

# 10
{"formula": "SmSi2H8", "functional": "GGA-PBE", "state": "optimized geometry", "lattice_angstrom": [[4.0442, -3.7789, 0.0000], [4.0442, 3.7789, 0.0000], [-0.5492, 0.0000, 4.0950]], "species": ["Sm", "Si", "Si", "H", "H", "H", "H", "H", "H", "H", "H"], "fractional_positions": [[0.0000, 0.0000, 0.0000], [0.2564, 0.2564, 0.6236], [0.7436, 0.7436, 0.3764], [0.0074, 0.3687, 0.7510], [0.2622, 0.2622, 0.2475], [0.3687, 0.0074, 0.7510], [0.4393, 0.4393, 0.7360], [0.5607, 0.5607, 0.2640], [0.6313, 0.9926, 0.2490], [0.7378, 0.7378, 0.7525], [0.9926, 0.6313, 0.2490]], "spacegroup": "C2/m (12)", "dos_ef_per_ev_cell": 1.63, "magnetic_moment_mub_per_fu": 0.00, "total_energy_ev_per_atom": -3.702}

=====

# 11
{"formula": "Mg8Tl3Hg", "functional": "GGA-PBE", "state": "optimized geometry", "lattice_angstrom": [[-3.9401, 3.9401, 5.3275], [3.9401, -3.9401, 5.3275], [3.9401, 3.9401, -5.3275]], "species": ["Mg", "Mg", "Mg", "Mg", "Mg", "Mg", "Mg", "Mg", "Tl", "Tl", "Tl", "Hg"], "fractional_positions": [[0.0942, 0.0942, 0.7325], [0.2059, 0.2059, 0.4828], [0.2769, 0.7941, 0.0000], [0.3618, 0.3618, 0.2675], [0.6382, 0.9058, 0.0000], [0.7231, 0.7231, 0.5172], [0.7941, 0.2769, 0.0000], [0.9058, 0.6382, 0.0000], [0.2500, 0.7500, 0.5000], [0.5000, 0.5000, 0.0000], [0.7500, 0.2500, 0.5000], [0.0000, 0.0000, 0.0000]], "spacegroup": "I-42m (121)", "dos_ef_per_ev_cell": 6.05, "magnetic_moment_mub_per_fu": 0.00, "delta_e_f_ev_per_fu": 1.490, "total_energy_ev_per_atom": -1.556}

=====

# 12
{"formula": "AgTeN2", "functional": "GGA-PBE", "state": "optimized geometry", "lattice_angstrom": [[3.3630, 0.0000, 0.0000], [-1.6815, 2.9125, 0.0000], [0.0000, 0.0000, 19.2838]], "species": ["Ag", "Ag", "Ag", "Te", "Te", "Te", "N", "N", "N", "N", "N", "N"], "fractional_positions": [[0.0000, 0.0000, 0.0000], [0.3333, 0.6667, 0.6667], [0.6667, 0.3333, 0.3333], [0.0000, 0.0000, 0.5000], [0.3333, 0.6667, 0.1667], [0.6667, 0.3333, 0.8333], [0.0000, 0.0000, 0.1089], [0.0000, 0.0000, 0.8911], [0.3333, 0.6667, 0.5577], [0.3333, 0.6667, 0.7756], [0.6667, 0.3333, 0.2244], [0.6667, 0.3333, 0.4423]], "spacegroup": "R-3m (166)", "dos_ef_per_ev_cell": 6.56, "magnetic_moment_mub_per_fu": 0.00, "total_energy_ev_per_atom": -4.687}